Record 1
# PBE Nd2ZnGe3Ir4, relaxed
# Magnetic moment in μB per atom: 0.00
# Energy relative to the elements in eV per atom: -0.716
# N(E_F) in states/eV/cell: 7.47
# E_tot in eV per atom: -6.727
# Symmetry: P-4m2
data_Nd2ZnGe3Ir4
_chemical_formula_sum 'Nd2 Zn1 Ge3 Ir4'
_space_group_name_H-M_alt 'P 1'
_space_group_IT_number 1
_cell_length_a 4.237
_cell_length_b 4.237
_cell_length_c 10.376
_cell_angle_alpha 90.00
_cell_angle_beta 90.00
_cell_angle_gamma 90.00
loop_
_space_group_symop_operation_xyz
'x,y,z'
loop_
_atom_site_label
_atom_site_fract_x
_atom_site_fract_y
_atom_site_fract_z
Nd1 0.000 0.500 0.248
Nd2 0.500 0.000 0.752
Zn1 0.500 0.500 0.000
Ge1 0.000 0.000 0.000
Ge2 0.000 0.500 0.630
Ge3 0.500 0.000 0.370
Ir1 0.000 0.000 0.500
Ir2 0.000 0.500 0.866
Ir3 0.500 0.000 0.134
Ir4 0.500 0.500 0.500

---

Record 2
# PBE KTc3B, relaxed
# Magnetic moment in μB per atom: 0.65
# Energy relative to the elements in eV per atom: 3.903
# N(E_F) in states/eV/cell: 6.63
# E_tot in eV per atom: -3.872
# Symmetry: Pm-3m
data_KTc3B
_chemical_formula_sum 'K1 Tc3 B1'
_space_group_name_H-M_alt 'P 1'
_space_group_IT_number 1
_cell_length_a 4.476
_cell_length_b 4.476
_cell_length_c 4.476
_cell_angle_alpha 90.00
_cell_angle_beta 90.00
_cell_angle_gamma 90.00
loop_
_space_group_symop_operation_xyz
'x,y,z'
loop_
_atom_site_label
_atom_site_fract_x
_atom_site_fract_y
_atom_site_fract_z
K1 0.000 0.000 0.000
Tc1 0.000 0.000 0.500
Tc2 0.000 0.500 0.000
Tc3 0.500 0.000 0.000
B1 0.500 0.500 0.500

---

Record 3
# PBE ZrZn2GeRh, relaxed
# Magnetic moment in μB per atom: 0.18
# Energy relative to the elements in eV per atom: 1.263
# N(E_F) in states/eV/cell: 6.35
# E_tot in eV per atom: -3.350
# Symmetry: P4/mmm
data_ZrZn2GeRh
_chemical_formula_sum 'Zr1 Zn2 Ge1 Rh1'
_space_group_name_H-M_alt 'P 1'
_space_group_IT_number 1
_cell_length_a 5.053
_cell_length_b 5.053
_cell_length_c 5.043
_cell_angle_alpha 90.00
_cell_angle_beta 90.00
_cell_angle_gamma 90.00
loop_
_space_group_symop_operation_xyz
'x,y,z'
loop_
_atom_site_label
_atom_site_fract_x
_atom_site_fract_y
_atom_site_fract_z
Zr1 0.000 0.000 0.000
Zn1 0.000 0.500 0.000
Zn2 0.500 0.000 0.000
Ge1 0.000 0.000 0.500
Rh1 0.500 0.500 0.500

---

Record 4
# PBE HfGaH3, relaxed
# Magnetic moment in μB per atom: 0.00
# Excess energy over the best structure of this formula in the dataset in eV per atom: 0.000
# N(E_F) in states/eV/cell: 1.80
# E_tot in eV per atom: -4.596
# Symmetry: Pm-3m
data_HfGaH3
_chemical_formula_sum 'Hf1 Ga1 H3'
_space_group_name_H-M_alt 'P 1'
_space_group_IT_number 1
_cell_length_a 3.794
_cell_length_b 3.794
_cell_length_c 3.794
_cell_angle_alpha 90.00
_cell_angle_beta 90.00
_cell_angle_gamma 90.00
loop_
_space_group_symop_operation_xyz
'x,y,z'
loop_
_atom_site_label
_atom_site_fract_x
_atom_site_fract_y
_atom_site_fract_z
Hf1 0.000 0.000 0.000
Ga1 0.500 0.500 0.500
H1 0.000 0.000 0.500
H2 0.000 0.500 0.000
H3 0.500 0.000 0.000

---

Record 5
# PBE LaDy8Tm6, relaxed
# Magnetic moment in μB per atom: 0.00
# Energy relative to the elements in eV per atom: 0.223
# Excess energy over the best structure of this formula in the dataset in eV per atom: 0.082
# N(E_F) in states/eV/cell: 21.12
# E_tot in eV per atom: -4.348
# Symmetry: P-3
data_LaDy8Tm6
_chemical_formula_sum 'La1 Dy8 Tm6'
_space_group_name_H-M_alt 'P 1'
_space_group_IT_number 1
_cell_length_a 9.396
_cell_length_b 9.396
_cell_length_c 6.444
_cell_angle_alpha 90.00
_cell_angle_beta 90.00
_cell_angle_gamma 120.00
loop_
_space_group_symop_operation_xyz
'x,y,z'
loop_
_atom_site_label
_atom_site_fract_x
_atom_site_fract_y
_atom_site_fract_z
La1 0.000 0.000 0.000
Dy1 0.026 0.340 0.407
Dy2 0.314 0.974 0.407
Dy3 0.333 0.667 0.671
Dy4 0.340 0.314 0.593
Dy5 0.660 0.686 0.407
Dy6 0.667 0.333 0.329
Dy7 0.686 0.026 0.593
Dy8 0.974 0.660 0.593
Tm1 0.098 0.680 0.091
Tm2 0.320 0.418 0.091
Tm3 0.418 0.098 0.909
Tm4 0.582 0.902 0.091
Tm5 0.680 0.582 0.909
Tm6 0.902 0.320 0.909

---

Record 6
# PBE HoScRhAu, relaxed
# Magnetic moment in μB per atom: 0.00
# Energy relative to the elements in eV per atom: -0.830
# Excess energy over the best structure of this formula in the dataset in eV per atom: 0.038
# N(E_F) in states/eV/cell: 3.77
# E_tot in eV per atom: -6.214
# Symmetry: F-43m
data_HoScRhAu
_chemical_formula_sum 'Ho1 Sc1 Rh1 Au1'
_space_group_name_H-M_alt 'P 1'
_space_group_IT_number 1
_cell_length_a 4.834
_cell_length_b 4.834
_cell_length_c 4.834
_cell_angle_alpha 60.00
_cell_angle_beta 60.00
_cell_angle_gamma 60.00
loop_
_space_group_symop_operation_xyz
'x,y,z'
loop_
_atom_site_label
_atom_site_fract_x
_atom_site_fract_y
_atom_site_fract_z
Ho1 0.000 0.000 0.000
Sc1 0.500 0.500 0.500
Rh1 0.750 0.750 0.750
Au1 0.250 0.250 0.250

---

Record 7
# PBE CuP2RuS, relaxed
# Magnetic moment in μB per atom: 0.00
# Excess energy over the best structure of this formula in the dataset in eV per atom: 0.373
# N(E_F) in states/eV/cell: 5.36
# Energy relative to the elements, uncorrected in meV per atom: 1130
# E_tot in eV per atom: -4.534
# Symmetry: P4/mmm
data_CuP2RuS
_chemical_formula_sum 'Cu1 P2 Ru1 S1'
_space_group_name_H-M_alt 'P 1'
_space_group_IT_number 1
_cell_length_a 4.354
_cell_length_b 4.354
_cell_length_c 4.441
_cell_angle_alpha 90.00
_cell_angle_beta 90.00
_cell_angle_gamma 90.00
loop_
_space_group_symop_operation_xyz
'x,y,z'
loop_
_atom_site_label
_atom_site_fract_x
_atom_site_fract_y
_atom_site_fract_z
Cu1 0.000 0.000 0.000
P1 0.000 0.500 0.000
P2 0.500 0.000 0.000
Ru1 0.500 0.500 0.500
S1 0.000 0.000 0.500

---

Record 8
# PBE CeHfSc2, relaxed
# Magnetic moment in μB per atom: 0.03
# Energy relative to the elements in eV per atom: 0.070
# Excess energy over the best structure of this formula in the dataset in eV per atom: 0.000
# N(E_F) in states/eV/cell: 9.23
# E_tot in eV per atom: -7.067
# Symmetry: R3m
data_CeHfSc2
_chemical_formula_sum 'Ce1 Hf1 Sc2'
_space_group_name_H-M_alt 'P 1'
_space_group_IT_number 1
_cell_length_a 10.993
_cell_length_b 10.993
_cell_length_c 10.993
_cell_angle_alpha 16.89
_cell_angle_beta 16.89
_cell_angle_gamma 16.89
loop_
_space_group_symop_operation_xyz
'x,y,z'
loop_
_atom_site_label
_atom_site_fract_x
_atom_site_fract_y
_atom_site_fract_z
Ce1 0.000 0.000 0.000
Hf1 0.835 0.835 0.835
Sc1 0.246 0.246 0.246
Sc2 0.423 0.423 0.423

---

Record 9
# PBE ZrTaMn2, relaxed
# Magnetic moment in μB per atom: 0.09
# Energy relative to the elements in eV per atom: 0.309
# N(E_F) in states/eV/cell: 4.77
# E_tot in eV per atom: -9.376
# Symmetry: R3m
data_ZrTaMn2
_chemical_formula_sum 'Zr1 Ta1 Mn2'
_space_group_name_H-M_alt 'P 1'
_space_group_IT_number 1
_cell_length_a 9.196
_cell_length_b 9.196
_cell_length_c 9.196
_cell_angle_alpha 18.45
_cell_angle_beta 18.45
_cell_angle_gamma 18.45
loop_
_space_group_symop_operation_xyz
'x,y,z'
loop_
_atom_site_label
_atom_site_fract_x
_atom_site_fract_y
_atom_site_fract_z
Zr1 0.000 0.000 0.000
Ta1 0.765 0.765 0.765
Mn1 0.246 0.246 0.246
Mn2 0.511 0.511 0.511

---

Record 10
# PBE BaHgAu2, relaxed
# Magnetic moment in μB per atom: 0.00
# Energy relative to the elements in eV per atom: -0.438
# N(E_F) in states/eV/cell: 1.80
# E_tot in eV per atom: -2.633
# Symmetry: Cmmm
data_BaHgAu2
_chemical_formula_sum 'Ba1 Hg1 Au2'
_space_group_name_H-M_alt 'P 1'
_space_group_IT_number 1
_cell_length_a 5.630
_cell_length_b 5.630
_cell_length_c 4.455
_cell_angle_alpha 90.00
_cell_angle_beta 90.00
_cell_angle_gamma 119.69
loop_
_space_group_symop_operation_xyz
'x,y,z'
loop_
_atom_site_label
_atom_site_fract_x
_atom_site_fract_y
_atom_site_fract_z
Ba1 0.000 0.000 0.000
Hg1 0.500 0.500 0.500
Au1 0.000 0.500 0.500
Au2 0.500 0.000 0.500

---

Record 11
# PBE SrYRh2, relaxed
# Magnetic moment in μB per atom: 0.00
# Energy relative to the elements in eV per atom: -0.247
# N(E_F) in states/eV/cell: 2.00
# E_tot in eV per atom: -5.960
# Symmetry: Cm
data_SrYRh2
_chemical_formula_sum 'Sr1 Y1 Rh2'
_space_group_name_H-M_alt 'P 1'
_space_group_IT_number 1
_cell_length_a 5.700
_cell_length_b 5.700
_cell_length_c 5.010
_cell_angle_alpha 102.20
_cell_angle_beta 102.20
_cell_angle_gamma 33.52
loop_
_space_group_symop_operation_xyz
'x,y,z'
loop_
_atom_site_label
_atom_site_fract_x
_atom_site_fract_y
_atom_site_fract_z
Sr1 0.000 0.000 0.000
Y1 0.785 0.785 0.392
Rh1 0.243 0.243 0.852
Rh2 0.535 0.535 0.516

---

Record 12
# PBE ReW3, relaxed
# Magnetic moment in μB per atom: 0.00
# Energy relative to the elements in eV per atom: 0.238
# Excess energy over the best structure of this formula in the dataset in eV per atom: 0.219
# N(E_F) in states/eV/cell: 9.80
# E_tot in eV per atom: -12.589
# Symmetry: Pnma
data_ReW3
_chemical_formula_sum 'Re4 W12'
_space_group_name_H-M_alt 'P 1'
_space_group_IT_number 1
_cell_length_a 5.317
_cell_length_b 9.093
_cell_length_c 5.348
_cell_angle_alpha 90.00
_cell_angle_beta 90.00
_cell_angle_gamma 90.00
loop_
_space_group_symop_operation_xyz
'x,y,z'
loop_
_atom_site_label
_atom_site_fract_x
_atom_site_fract_y
_atom_site_fract_z
Re1 0.012 0.250 0.192
Re2 0.488 0.750 0.692
Re3 0.512 0.250 0.308
Re4 0.988 0.750 0.808
W1 0.000 0.250 0.706
W2 0.000 0.750 0.294
W3 0.249 0.003 0.072
W4 0.249 0.497 0.072
W5 0.251 0.503 0.572
W6 0.251 0.997 0.572
W7 0.500 0.250 0.794
W8 0.500 0.750 0.206
W9 0.749 0.003 0.428
W10 0.749 0.497 0.428
W11 0.751 0.503 0.928
W12 0.751 0.997 0.928